(1)
Computed, not measured: a geometry-optimized MnVCrMo structure at the GGA-PBE level of DFT.

Computed properties:
- density of states at the Fermi level (states/eV/atom) = 0.700
- energy of formation (eV/atom) = -0.075

abc: 5.903 5.903 5.903
angles: 90.00 90.00 90.00
Space group F-43m (No. 216)
Unique sites:
1 Mn 0.000 0.000 0.000 [4 per cell]
2 V 0.250 0.250 0.250 [4 per cell]
3 Cr 0.000 0.000 0.500 [4 per cell]
4 Mo 0.250 0.250 0.750 [4 per cell]

***

(2)
Computed, not measured: a geometry-optimized Mn2Cr4N structure at the GGA-PBE level of DFT.

Computed properties:
- E (eV per atom) = -9.42
- density of states at the Fermi level (states/eV/atom) = 1.002

abc: 10.580 10.580 10.580
angles: 90.00 90.00 90.00
Space group Fd-3m (No. 227, origin choice 2)
Unique sites:
1 Mn 0.040 0.040 0.210 [32 per cell]
2 Cr 0.000 0.000 0.000 [16 per cell]
3 Cr 0.065 0.375 0.875 [48 per cell]
4 N 0.000 0.000 0.500 [16 per cell]